K2MnCdH6: relaxed, PBE-GGA.

a = 5.7643 Å, b = 5.7615 Å, c = 5.7642 Å
α = 119.99°, β = 120.07°, γ = 89.86°
Each line ends with the local moment (μB).
Fractional coordinates of all 10 atoms:
K 0.7502 0.2503 0.4997  0.00
K 0.2497 0.7505 0.4999  0.00
Mn 0.9999 0.0004 0.9998  2.85
Cd 0.4999 0.5004 0.9998  0.00
H 0.7913 0.7921 0.0021  -0.02
H 0.7900 0.7907 0.5790  -0.02
H 0.2084 0.2087 0.9974  -0.02
H 0.7895 0.2104 0.9997  -0.02
H 0.2098 0.2102 0.4207  -0.02
H 0.2102 0.7902 0.9998  -0.02

Summary:
The total magnetization is 2.9 μB/cell. For the raw total energy, the calculation gives -32.60 eV per cell. The calculation puts the density of states at the Fermi level at 3.65 states/eV/cell. Its space-group type is No. 71.